[1]
A plane-wave DFT calculation with PBE was carried out for a geometry-optimized Na2TmSn3S6 structure.

Cell and atoms, written as extended XYZ:
```
12
Lattice="3.493 -6.121 0.000 3.493 6.121 0.000 -2.334 0.000 6.630" Properties=species:S:1:pos:R:3 pbc="T T T"
Na 3.493 4.052 0.000
Na 3.493 -4.052 0.000
Tm 3.493 0.000 0.000
Sn -1.167 0.000 3.315
Sn 2.326 1.985 3.315
Sn 2.326 -1.985 3.315
S 0.037 1.847 5.030
S 1.297 0.000 1.690
S 0.037 -1.847 5.030
S 4.614 1.847 1.600
S 3.355 0.000 4.941
S 4.614 -1.847 1.600
```

Values from the calculation:
Crystal system: monoclinic
Space-group type: C2/m
Calculated volume: 283.5 Å³ per cell
Formation energy from raw total energies: -0.95 eV per atom

***

[2]
A plane-wave DFT calculation with PBE was carried out for a geometry-optimized Na4Tm3SnS8 structure.

Cell and atoms, written as extended XYZ:
```
16
Lattice="3.942 2.276 6.672 -3.942 2.276 6.672 0.000 -4.552 6.672" Properties=species:S:1:pos:R:3 pbc="T T T"
Na 0.000 0.000 0.000
Na -1.971 -1.138 6.672
Na -1.971 1.138 13.344
Na 0.000 2.276 6.672
Tm -3.942 0.000 10.008
Tm -1.971 1.138 3.336
Tm 1.971 1.138 3.336
Sn 0.000 0.000 10.008
S -1.983 -1.145 11.502
S 0.000 0.000 4.831
S 0.000 -2.289 8.515
S -1.983 1.145 8.515
S 1.983 -1.145 11.502
S 0.000 2.289 11.502
S 0.000 0.000 15.185
S 1.983 1.145 8.515
```

Values from the calculation:
Crystal system: trigonal
Space-group type: R-3m
Calculated volume: 359.2 Å³ per cell
Formation energy from raw total energies: -1.56 eV per atom

***

[3]
A plane-wave DFT calculation with PBE was carried out for a geometry-optimized Na2Tm2SnS6 structure.

Cell and atoms, written as extended XYZ:
```
11
Lattice="3.351 -5.796 0.000 3.351 5.796 0.000 -2.139 0.000 6.833" Properties=species:S:1:pos:R:3 pbc="T T T"
Na 3.351 3.868 0.000
Na 3.351 -3.868 0.000
Tm 2.281 1.943 3.416
Tm 2.281 -1.943 3.416
Sn -1.070 0.000 3.416
S 0.016 1.885 4.906
S 1.035 0.000 1.948
S 0.016 -1.885 4.906
S 4.547 1.885 1.926
S 3.528 0.000 4.885
S 4.547 -1.885 1.926
```

Values from the calculation:
Crystal system: monoclinic
Space-group type: C2/m
Calculated volume: 265.4 Å³ per cell
Formation energy from raw total energies: -1.42 eV per atom

***

[4]
A plane-wave DFT calculation with PBE was carried out for a geometry-optimized NaUSn2S6 structure.

Cell and atoms, written as extended XYZ:
```
10
Lattice="3.432 1.981 6.336 -3.432 1.981 6.336 0.000 -3.963 6.336" Properties=species:S:1:pos:R:3 pbc="T T T"
Na 0.000 0.000 0.000
U 0.000 0.000 9.157
Sn 0.000 0.000 5.410
Sn 0.000 0.000 15.230
S -2.042 -0.179 7.557
S -1.286 -1.771 10.555
S 1.176 -1.679 7.557
S -0.890 1.999 10.555
S 0.866 1.858 7.557
S 2.176 -0.228 10.555
```

Values from the calculation:
Crystal system: trigonal
Space-group type: R3
Calculated volume: 258.5 Å³ per cell
Formation energy from raw total energies: -0.78 eV per atom